Tm4PdSe2 | Alexandria | PBE-GGA | optimized geometry; total magnetization = 0.0 μB per cell; raw formation energy = -1216 meV/atom; VASP energy = -38.6 eV/f.u.
1.0
-2.314 0.630 -3.021
4.055 -5.071 -1.701
-9.220 -9.105 5.165
Tm Pd Se
8 2 4
Direct
0.790 0.580 0.372
0.500 0.000 0.000
0.052 0.105 0.250
0.210 0.420 0.872
0.790 0.580 0.128
0.948 0.895 0.750
0.210 0.420 0.628
0.500 0.000 0.500
0.606 0.213 0.750
0.394 0.787 0.250
0.858 0.716 0.564
0.858 0.716 0.936
0.142 0.284 0.064
0.142 0.284 0.436